(1)
DFT (PBE) results for an optimized crystal structure of LaVSiHg2.

Summary:
Raw formation energy, eV per atom: -0.01

Unit cell a=5.117 b=5.117 c=4.676 alpha=90.00 beta=90.00 gamma=90.00
Space group P4/mmm (No. 123)
Inequivalent atoms, fractional coordinates:
1 La 0.000 0.000 0.000 (multiplicity 1)
2 V 0.500 0.500 0.500 (multiplicity 1)
3 Si 0.500 0.500 0.000 (multiplicity 1)
4 Hg 0.000 0.500 0.500 (multiplicity 2)

***

(2)
DFT (PBE) results for an optimized crystal structure of LiHoZrGa.

Summary:
Formation energy from the elements, eV per atom: -0.227

Unit cell a=6.912 b=6.912 c=6.912 alpha=90.00 beta=90.00 gamma=90.00
Space group F-43m (No. 216)
Inequivalent atoms, fractional coordinates:
1 Li 0.000 0.000 0.000 (multiplicity 4)
2 Ho 0.250 0.250 0.750 (multiplicity 4)
3 Zr 0.250 0.250 0.250 (multiplicity 4)
4 Ga 0.000 0.000 0.500 (multiplicity 4)

***

(3)
DFT (PBE) results for an optimized crystal structure of BaIn4.

Summary:
Formation energy from the elements, eV per atom: 0.766

Unit cell a=6.402 b=6.402 c=6.402 alpha=90.00 beta=90.00 gamma=90.00
Space group Pm-3m (No. 221)
Inequivalent atoms, fractional coordinates:
1 Ba 0.000 0.000 0.000 (multiplicity 1)
2 In 0.000 0.000 0.500 (multiplicity 3)
3 In 0.500 0.500 0.500 (multiplicity 1)

***

(4)
DFT (PBE) results for an optimized crystal structure of TmZn3Ga2.

Summary:
Formation energy from the elements, eV per atom: -0.289

Unit cell a=15.185 b=4.316 c=7.577 alpha=90.00 beta=119.33 gamma=90.00
Space group C2/m (No. 12)
Inequivalent atoms, fractional coordinates:
1 Tm 0.133 0.000 0.124 (multiplicity 4)
2 Zn 0.003 0.000 0.341 (multiplicity 4)
3 Zn 0.173 0.500 0.876 (multiplicity 4)
4 Zn 0.180 0.500 0.466 (multiplicity 4)
5 Ga 0.003 0.500 0.166 (multiplicity 4)
6 Ga 0.187 0.000 0.689 (multiplicity 4)

***

(5)
DFT (PBE) results for an optimized crystal structure of RbErPbF6.

Summary:
Raw formation energy, eV per atom: -3.24

Unit cell a=6.6547 b=6.6547 c=3.6221 alpha=90.00 beta=90.00 gamma=120.00
Space group P-6 (No. 174)
Inequivalent atoms, fractional coordinates:
1 Rb 0.0000 0.0000 0.0000 (multiplicity 1)
2 Er 0.6667 0.3333 0.0000 (multiplicity 1)
3 Pb 0.3333 0.6667 0.5000 (multiplicity 1)
4 F 0.0475 0.4292 0.0000 (multiplicity 3)
5 F 0.4105 0.2758 0.5000 (multiplicity 3)

***

(6)
DFT (PBE) results for an optimized crystal structure of Ac2TlPt9.

Summary:
Formation energy from the elements, eV per atom: -0.599

Unit cell a=5.5811 b=5.5811 c=26.9011 alpha=90.00 beta=90.00 gamma=120.00
Space group R-3m (No. 166, hexagonal axes)
Inequivalent atoms, fractional coordinates:
1 Ac 0.0000 0.0000 0.1355 (multiplicity 6)
2 Tl 0.0000 0.0000 0.0000 (multiplicity 3)
3 Pt 0.0000 0.0000 0.3320 (multiplicity 6)
4 Pt 0.0000 0.0000 0.5000 (multiplicity 3)
5 Pt 0.0036 0.5018 0.9167 (multiplicity 18)

***

(7)
DFT (PBE) results for an optimized crystal structure of BeTlCd2Co.

Summary:
Formation energy from the elements, eV per atom: 1.419

Unit cell a=5.485 b=5.485 c=4.980 alpha=90.00 beta=90.00 gamma=90.00
Space group P4/mmm (No. 123)
Inequivalent atoms, fractional coordinates:
1 Be 0.000 0.000 0.000 (multiplicity 1)
2 Tl 0.500 0.500 0.500 (multiplicity 1)
3 Cd 0.000 0.500 0.500 (multiplicity 2)
4 Co 0.500 0.500 0.000 (multiplicity 1)

***

(8)
DFT (PBE) results for an optimized crystal structure of Sm3SbAs2Rh9.

Summary:
Raw formation energy, eV per atom: -0.46

Unit cell a=6.2823 b=6.2823 c=9.2828 alpha=90.00 beta=90.00 gamma=120.00
Space group P-3m1 (No. 164)
Inequivalent atoms, fractional coordinates:
1 Sm 0.0000 0.0000 0.0000 (multiplicity 1)
2 Sm 0.3333 0.6667 0.7335 (multiplicity 2)
3 Sb 0.0000 0.0000 0.5000 (multiplicity 1)
4 As 0.3333 0.6667 0.1695 (multiplicity 2)
5 Rh 0.0000 0.5000 0.0000 (multiplicity 3)
6 Rh 0.1429 0.2858 0.2735 (multiplicity 6)

***

(9)
DFT (PBE) results for an optimized crystal structure of Tb2Pr3PuN6.

Summary:
Raw formation energy, eV per atom: -1.40

Unit cell a=6.183 b=10.694 c=6.226 alpha=90.00 beta=109.37 gamma=90.00
Space group C2/m (No. 12)
Inequivalent atoms, fractional coordinates:
1 Tb 0.000 0.166 0.000 (multiplicity 4)
2 Pr 0.000 0.000 0.500 (multiplicity 2)
3 Pr 0.000 0.333 0.500 (multiplicity 4)
4 Pu 0.000 0.500 0.000 (multiplicity 2)
5 N 0.235 0.340 0.228 (multiplicity 8)
6 N 0.244 0.500 0.769 (multiplicity 4)

***

(10)
DFT (PBE) results for an optimized crystal structure of Y2Er8Tm3.

Summary:
Formation energy from the elements, eV per atom: 0.170
Energy above the most stable polymorph in this dataset, eV per atom: 0.0000

Unit cell a=5.546 b=6.709 c=22.103 alpha=90.00 beta=90.00 gamma=90.00
Space group Immm (No. 71)
Inequivalent atoms, fractional coordinates:
1 Y 0.000 0.000 0.223 (multiplicity 4)
2 Er 0.000 0.000 0.075 (multiplicity 4)
3 Er 0.000 0.261 0.349 (multiplicity 8)
4 Er 0.000 0.500 0.181 (multiplicity 4)
5 Tm 0.000 0.262 0.500 (multiplicity 4)
6 Tm 0.000 0.500 0.000 (multiplicity 2)

***

(11)
DFT (PBE) results for an optimized crystal structure of Mg2In.

Summary:
Formation energy from the elements, eV per atom: 0.044

Unit cell a=8.320 b=8.320 c=8.320 alpha=90.00 beta=90.00 gamma=90.00
Space group Fd-3m (No. 227, origin choice 2)
Inequivalent atoms, fractional coordinates:
1 Mg 0.000 0.000 0.000 (multiplicity 16)
2 In 0.125 0.125 0.625 (multiplicity 8)

***

(12)
DFT (PBE) results for an optimized crystal structure of ScCrCu2.

Summary:
Formation energy from the elements, eV per atom: 0.256
Energy above the most stable polymorph in this dataset, eV per atom: 0.2139

Unit cell a=2.759 b=2.759 c=7.449 alpha=90.00 beta=90.00 gamma=90.00
Space group P4/mmm (No. 123)
Inequivalent atoms, fractional coordinates:
1 Sc 0.000 0.000 0.000 (multiplicity 1)
2 Cr 0.000 0.000 0.500 (multiplicity 1)
3 Cu 0.500 0.500 0.274 (multiplicity 2)

***

Number 1: DOS at the Fermi energy 2.4 states/eV/f.u.. Number 2: DOS at the Fermi energy 2.7 states/eV/f.u.. Number 3: DOS at the Fermi energy 9.0 states/eV/f.u.. Number 4: DOS at the Fermi energy 1.7 states/eV/f.u.. Number 5: DOS at the Fermi energy 0.0 states/eV/f.u.. Number 6: DOS at the Fermi energy 8.4 states/eV/f.u.. Number 7: DOS at the Fermi energy 5.8 states/eV/f.u.. Number 8: DOS at the Fermi energy 8.0 states/eV/f.u.. Number 9: DOS at the Fermi energy 6.9 states/eV/f.u.. Number 10: DOS at the Fermi energy 21.3 states/eV/f.u.. Number 11: DOS at the Fermi energy 1.9 states/eV/f.u.. Number 12: DOS at the Fermi energy 4.3 states/eV/f.u..